[1]
The following is a GGA-PBE calculation of a relaxed structure of TlSn, from Alexandria.

a b c (Å): 7.228 7.234 9.011
angles (deg): 90.00 90.00 90.00
Sites, in units of the cell vectors:
Tl1 0.000 0.500 0.000
Tl2 0.250 0.250 0.250
Tl3 0.000 0.000 0.500
Tl4 0.250 0.750 0.750
Tl5 0.500 0.500 0.500
Tl6 0.750 0.250 0.750
Tl7 0.500 0.000 0.000
Tl8 0.750 0.750 0.250
Sn1 0.000 0.000 0.000
Sn2 0.250 0.750 0.250
Sn3 0.000 0.500 0.500
Sn4 0.250 0.250 0.750
Sn5 0.500 0.000 0.500
Sn6 0.750 0.750 0.750
Sn7 0.500 0.500 0.000
Sn8 0.750 0.250 0.250

Total magnetic moment (μB per formula unit): 0.0
Final energy (hartree per atom): -0.11585
DFT formation energy (eV/atom): 0.032
Volume (Å³/cell): 471

---

[2]
The following is a GGA-PBE calculation of a relaxed structure of CeDy3Y, from Alexandria.

a b c (Å): 5.393 7.022 8.796
angles (deg): 89.98 107.85 90.00
Last column: magnetic moment on the atom in μB.
Sites, in units of the cell vectors:
Ce1 0.799 0.751 0.599  0.72
Ce2 0.201 0.249 0.401  0.72
Dy1 0.001 0.751 0.002  0.06
Dy2 0.999 0.249 0.998  0.06
Dy3 0.394 0.000 0.788  0.04
Dy4 0.606 0.000 0.212  0.04
Dy5 0.201 0.751 0.402  0.06
Dy6 0.799 0.249 0.598  0.06
Y1 0.607 0.501 0.214  0.03
Y2 0.393 0.499 0.786  0.03

Total magnetic moment (μB per formula unit): 1.2
Final energy (hartree per atom): -0.18873
DFT formation energy (eV/atom): 0.105
Volume (Å³/cell): 317

---

[3]
The following is a GGA-PBE calculation of a relaxed structure of ThCuBiPd, from Alexandria.

a b c (Å): 4.992 4.992 4.992
angles (deg): 60.00 60.00 60.00
Sites, in units of the cell vectors:
Pd1 0.000 0.000 0.000
Bi1 0.250 0.250 0.250
Th1 0.750 0.750 0.750
Cu1 0.500 0.500 0.500

Total magnetic moment (μB per formula unit): 0.0
Final energy (hartree per atom): -0.20465
DFT formation energy (eV/atom): -0.421
Volume (Å³/cell): 88

---

[4]
The following is a GGA-PBE calculation of a relaxed structure of LiPm2AlPt6, from Alexandria.

a b c (Å): 5.641 8.562 8.559
angles (deg): 38.47 70.81 90.05
Sites, in units of the cell vectors:
Li1 0.000 0.000 0.000
Pm1 0.203 0.797 0.594
Pm2 0.797 0.203 0.406
Al1 0.500 0.500 0.000
Pt1 0.254 0.746 0.987
Pt2 0.760 0.746 0.987
Pt3 0.254 0.240 0.493
Pt4 0.746 0.254 0.013
Pt5 0.240 0.254 0.013
Pt6 0.746 0.760 0.507

Total magnetic moment (μB per formula unit): 0.0
Final energy (hartree per atom): -0.21941
DFT formation energy (eV/atom): -0.830
Volume (Å³/cell): 218

---

[5]
The following is a GGA-PBE calculation of a relaxed structure of MoOsBr2, from Alexandria.

a b c (Å): 5.624 5.624 6.818
angles (deg): 74.27 74.27 33.47
Sites, in units of the cell vectors:
Mo1 0.479 0.479 0.630
Os1 0.846 0.846 0.551
Br1 0.995 0.995 0.937
Br2 0.180 0.180 0.383

Total magnetic moment (μB per formula unit): 0.0
Final energy (hartree per atom): -0.21200
Volume (Å³/cell): 114
Uncorrected formation energy (meV/atom): 583

---

[6]
The following is a GGA-PBE calculation of a relaxed structure of Ba6TlIr2, from Alexandria.

a b c (Å): 9.789 9.789 9.789
angles (deg): 105.63 112.75 110.11
Sites, in units of the cell vectors:
Ba1 0.521 0.818 0.703
Ba2 0.479 0.182 0.297
Ba3 0.115 0.818 0.297
Ba4 0.885 0.182 0.703
Ba5 0.784 0.003 0.219
Ba6 0.216 0.997 0.781
Ba7 0.216 0.436 0.219
Ba8 0.784 0.564 0.781
Ba9 0.694 0.321 0.015
Ba10 0.306 0.679 0.985
Ba11 0.306 0.321 0.627
Ba12 0.694 0.679 0.373
Tl1 0.000 0.500 0.500
Tl2 0.000 0.000 0.000
Ir1 0.500 0.110 0.610
Ir2 0.500 0.890 0.390
Ir3 0.615 0.615 0.000
Ir4 0.385 0.385 0.000

Total magnetic moment (μB per formula unit): 0.0
Final energy (hartree per atom): -0.13482
DFT formation energy (eV/atom): -0.155
Volume (Å³/cell): 719

---

[7]
The following is a GGA-PBE calculation of a relaxed structure of LuMgZrCd, from Alexandria.

a b c (Å): 5.091 5.091 5.091
angles (deg): 60.00 60.00 60.00
Sites, in units of the cell vectors:
Mg1 0.250 0.250 0.250
Lu1 0.500 0.500 0.500
Zr1 0.000 0.000 0.000
Cd1 0.750 0.750 0.750

Total magnetic moment (μB per formula unit): 0.0
Final energy (hartree per atom): -0.14471
DFT formation energy (eV/atom): -0.043
Volume (Å³/cell): 93

---

[8]
The following is a GGA-PBE calculation of a relaxed structure of Ta2CrIn, from Alexandria.

a b c (Å): 2.892 2.892 8.987
angles (deg): 90.00 90.00 110.31
Sites, in units of the cell vectors:
Cr1 0.000 0.000 0.486
In1 0.500 0.500 0.732
Ta1 0.000 0.000 0.012
Ta2 0.500 0.500 0.271

Total magnetic moment (μB per formula unit): 0.0
Final energy (hartree per atom): -0.32236
DFT formation energy (eV/atom): 0.245
Volume (Å³/cell): 70

---

[9]
The following is a GGA-PBE calculation of a relaxed structure of CrBSbI2, from Alexandria.

a b c (Å): 5.503 5.503 5.196
angles (deg): 90.00 90.00 90.00
Last column: magnetic moment on the atom in μB.
Sites, in units of the cell vectors:
I1 0.000 0.500 0.000  -0.02
I2 0.500 0.000 0.000  -0.02
Sb1 0.000 0.000 0.500  -0.27
B1 0.500 0.500 0.500  0.06
Cr1 0.000 0.000 0.000  3.18

Total magnetic moment (μB per formula unit): 3.0
Final energy (hartree per atom): -0.12912
Volume (Å³/cell): 157
Uncorrected formation energy (meV/atom): 1191

---

[10]
The following is a GGA-PBE calculation of a relaxed structure of NbBiBr6, from Alexandria.

a b c (Å): 6.887 6.887 7.432
angles (deg): 62.39 62.39 60.00
Last column: magnetic moment on the atom in μB.
Sites, in units of the cell vectors:
Nb1 0.000 0.000 0.000  1.49
Bi1 0.500 0.500 0.500  0.17
Br1 0.064 0.402 0.761  0.00
Br2 0.772 0.065 0.761  0.00
Br3 0.598 0.227 0.239  0.00
Br4 0.228 0.935 0.239  0.00
Br5 0.936 0.598 0.239  0.00
Br6 0.402 0.773 0.761  0.00

Total magnetic moment (μB per formula unit): 2.0
Final energy (hartree per atom): -0.13536
Volume (Å³/cell): 258
Uncorrected formation energy (meV/atom): -685

---

[11]
The following is a GGA-PBE calculation of a relaxed structure of CaInBrCl4, from Alexandria.

a b c (Å): 7.446 7.446 10.041
angles (deg): 79.31 79.31 71.81
Sites, in units of the cell vectors:
Ca1 0.173 0.173 0.975
Ca2 0.827 0.827 0.025
In1 0.629 0.629 0.741
In2 0.371 0.371 0.259
Br1 0.982 0.982 0.195
Br2 0.018 0.018 0.805
Cl1 0.322 0.322 0.496
Cl2 0.678 0.678 0.504
Cl3 0.072 0.470 0.156
Cl4 0.569 0.569 0.155
Cl5 0.530 0.928 0.844
Cl6 0.470 0.072 0.156
Cl7 0.431 0.431 0.845
Cl8 0.928 0.530 0.844

Total magnetic moment (μB per formula unit): 0.0
Final energy (hartree per atom): -0.12701
Volume (Å³/cell): 515
Uncorrected formation energy (meV/atom): -1485

---

[12]
The following is a GGA-PBE calculation of a relaxed structure of TaP, from Alexandria.

a b c (Å): 3.323 3.323 3.335
angles (deg): 90.00 90.00 120.00
Sites, in units of the cell vectors:
P1 0.000 0.000 0.000
Ta1 0.667 0.333 0.500

Total magnetic moment (μB per formula unit): 0.0
Final energy (hartree per atom): -0.35141
DFT formation energy (eV/atom): -0.931
Volume (Å³/cell): 32

---

[13]
The following is a GGA-PBE calculation of a relaxed structure of HoCdAg2, from Alexandria.

a b c (Å): 5.037 5.012 6.707
angles (deg): 90.00 90.00 90.00
Sites, in units of the cell vectors:
Ho1 0.000 0.305 0.500
Ho2 0.500 0.695 0.000
Cd1 0.500 0.713 0.500
Cd2 0.000 0.287 0.000
Ag1 0.500 0.195 0.255
Ag2 0.500 0.195 0.745
Ag3 0.000 0.805 0.755
Ag4 0.000 0.805 0.245

Total magnetic moment (μB per formula unit): 0.0
Final energy (hartree per atom): -0.11303
DFT formation energy (eV/atom): -0.277
Volume (Å³/cell): 169

---

[14]
The following is a GGA-PBE calculation of a relaxed structure of Ac3HgTe6, from Alexandria.

a b c (Å): 7.438 10.547 10.547
angles (deg): 102.73 90.00 90.00
Sites, in units of the cell vectors:
Ac1 0.473 0.927 0.720
Ac2 0.973 0.720 0.927
Ac3 0.391 0.385 0.615
Ac4 0.891 0.615 0.385
Ac5 0.973 0.073 0.280
Ac6 0.473 0.280 0.073
Hg1 0.037 0.202 0.798
Hg2 0.537 0.798 0.202
Te1 0.183 0.678 0.640
Te2 0.683 0.640 0.678
Te3 0.208 0.444 0.914
Te4 0.708 0.914 0.444
Te5 0.170 0.031 0.969
Te6 0.659 0.221 0.779
Te7 0.159 0.779 0.221
Te8 0.670 0.969 0.031
Te9 0.208 0.086 0.556
Te10 0.708 0.556 0.086
Te11 0.183 0.360 0.322
Te12 0.683 0.322 0.360

Total magnetic moment (μB per formula unit): 0.0
Final energy (hartree per atom): -0.15809
Volume (Å³/cell): 807
Uncorrected formation energy (meV/atom): -1154

---

[15]
The following is a GGA-PBE calculation of a relaxed structure of KBe2Tl, from Alexandria.

a b c (Å): 5.433 5.433 5.433
angles (deg): 134.89 116.43 81.32
Sites, in units of the cell vectors:
Be1 0.910 0.910 0.000
Be2 0.873 0.373 0.500
Tl1 0.197 0.697 0.500
K1 0.520 0.520 0.000

Total magnetic moment (μB per formula unit): 0.0
Final energy (hartree per atom): -0.07447
DFT formation energy (eV/atom): 0.703
Volume (Å³/cell): 98

---

[16]
The following is a GGA-PBE calculation of a relaxed structure of SrCdAu2, from Alexandria.

a b c (Å): 4.803 4.803 5.884
angles (deg): 65.72 65.72 60.31
Sites, in units of the cell vectors:
Au1 0.960 0.960 0.120
Au2 0.258 0.258 0.227
Cd1 0.537 0.537 0.390
Sr1 0.746 0.746 0.763

Total magnetic moment (μB per formula unit): 0.0
Final energy (hartree per atom): -0.10113
DFT formation energy (eV/atom): -0.464
Volume (Å³/cell): 104

---

[17]
The following is a GGA-PBE calculation of a relaxed structure of ScRhI2, from Alexandria.

a b c (Å): 5.034 5.034 5.034
angles (deg): 60.00 60.00 60.00
Sites, in units of the cell vectors:
I1 0.250 0.250 0.250
I2 0.750 0.750 0.750
Sc1 0.000 0.000 0.000
Rh1 0.500 0.500 0.500

Total magnetic moment (μB per formula unit): 0.0
Final energy (hartree per atom): -0.15832
Volume (Å³/cell): 90
Uncorrected formation energy (meV/atom): -112

---

[18]
The following is a GGA-PBE calculation of a relaxed structure of TlCdAgCl6, from Alexandria.

a b c (Å): 6.721 6.721 12.184
angles (deg): 90.00 90.00 120.00
Sites, in units of the cell vectors:
Tl1 0.333 0.667 0.250
Tl2 0.667 0.333 0.750
Cd1 0.667 0.333 0.250
Cd2 0.333 0.667 0.750
Ag1 0.000 0.000 0.000
Ag2 0.000 0.000 0.500
Cl1 0.653 0.655 0.127
Cl2 0.002 0.347 0.127
Cl3 0.347 0.002 0.627
Cl4 0.998 0.653 0.873
Cl5 0.345 0.347 0.373
Cl6 0.002 0.655 0.373
Cl7 0.655 0.002 0.873
Cl8 0.653 0.998 0.373
Cl9 0.998 0.345 0.627
Cl10 0.345 0.998 0.127
Cl11 0.655 0.653 0.627
Cl12 0.347 0.345 0.873

Total magnetic moment (μB per formula unit): 0.0
Final energy (hartree per atom): -0.09772
Volume (Å³/cell): 477
Uncorrected formation energy (meV/atom): -747

---

[19]
The following is a GGA-PBE calculation of a relaxed structure of MnOs2Au, from Alexandria.

a b c (Å): 2.738 3.733 5.783
angles (deg): 90.00 90.00 90.00
Last column: magnetic moment on the atom in μB.
Sites, in units of the cell vectors:
Au1 0.500 0.500 0.250  0.00
Mn1 0.500 0.500 0.750  2.04
Os1 0.000 0.000 0.964  -0.15
Os2 0.000 0.000 0.536  -0.15

Total magnetic moment (μB per formula unit): 1.8
Final energy (hartree per atom): -0.30514
DFT formation energy (eV/atom): 0.423
Volume (Å³/cell): 59

---

[20]
The following is a GGA-PBE calculation of a relaxed structure of CaPdC, from Alexandria.

a b c (Å): 2.739 4.092 9.115
angles (deg): 102.56 90.00 109.55
Sites, in units of the cell vectors:
Pd1 0.337 0.674 0.411
Pd2 0.663 0.326 0.589
Ca1 0.556 0.113 0.191
Ca2 0.444 0.887 0.809
C1 0.785 0.571 0.995
C2 0.215 0.429 0.005

Total magnetic moment (μB per formula unit): 0.0
Final energy (hartree per atom): -0.19742
DFT formation energy (eV/atom): 0.101
Volume (Å³/cell): 94

---

[21]
The following is a GGA-PBE calculation of a relaxed structure of AlBMo, from Alexandria.

a b c (Å): 7.201 7.201 3.109
angles (deg): 90.00 90.00 154.08
Sites, in units of the cell vectors:
Al1 0.699 0.301 0.750
Al2 0.301 0.699 0.250
B1 0.467 0.533 0.250
B2 0.533 0.467 0.750
Mo1 0.089 0.911 0.250
Mo2 0.911 0.089 0.750

Total magnetic moment (μB per formula unit): 0.0
Final energy (hartree per atom): -0.27713
DFT formation energy (eV/atom): -0.457
Volume (Å³/cell): 70

---

[22]
The following is a GGA-PBE calculation of a relaxed structure of AsPOs2Se, from Alexandria.

a b c (Å): 4.402 4.869 4.402
angles (deg): 90.00 90.00 90.00
Sites, in units of the cell vectors:
P1 0.000 0.000 0.000
As1 0.500 0.500 0.500
Os1 0.000 0.000 0.500
Os2 0.500 0.000 0.000
Se1 0.000 0.500 0.000

Total magnetic moment (μB per formula unit): 0.0
Final energy (hartree per atom): -0.21751
Volume (Å³/cell): 94
Uncorrected formation energy (meV/atom): 1282

---

[23]
The following is a GGA-PBE calculation of a relaxed structure of AcDyTe2, from Alexandria.

a b c (Å): 4.436 4.436 8.171
angles (deg): 74.13 74.13 60.21
Sites, in units of the cell vectors:
Ac1 0.500 0.500 0.500
Dy1 0.000 0.000 0.000
Te1 0.741 0.741 0.777
Te2 0.259 0.259 0.223

Total magnetic moment (μB per formula unit): 0.0
Final energy (hartree per atom): -0.18857
Volume (Å³/cell): 132
Uncorrected formation energy (meV/atom): -1383

---

[24]
The following is a GGA-PBE calculation of a relaxed structure of Rb3CoSb, from Alexandria.

a b c (Å): 7.030 7.030 7.030
angles (deg): 90.00 90.00 90.00
Last column: magnetic moment on the atom in μB.
Sites, in units of the cell vectors:
Sb1 0.000 0.000 0.000  0.12
Co1 0.500 0.500 0.500  -2.21
Rb1 0.000 0.500 0.000  0.00
Rb2 0.000 0.000 0.500  0.01
Rb3 0.500 0.000 0.000  0.00

Total magnetic moment (μB per formula unit): 1.9
Final energy (hartree per atom): -0.08124
Volume (Å³/cell): 347
Uncorrected formation energy (meV/atom): 615